ZnSbW2 (PBE, relaxed); magnetization = 0.00 μB/f.u.; energy relative to the elements, uncorrected = 688 meV per atom; offset from the most stable computed form = 372 meV/atom; E = -7.137 eV/atom
1.0
-1.953 1.953 9.761
1.953 -1.953 9.761
1.953 1.953 -9.761
Zn Sb W
2 2 4
direct
0.000 0.000 0.000
0.750 0.250 0.500
0.250 0.750 0.500
0.500 0.500 0.000
0.091 0.625 0.966
0.375 0.341 0.466
0.659 0.125 0.034
0.875 0.909 0.534



Na2Ge5Pd3 (PBE, relaxed); calculated formation energy = -294 meV per atom; magnetization = 0.00 μB/f.u.; offset from the most stable computed form = 18 meV/atom; E = -4.424 eV/atom
1.0
2.220 -12.249 0.000
2.220 12.249 0.000
0.000 0.000 6.714
Na Ge Pd
4 10 6
direct
0.017 0.983 0.500
0.325 0.675 0.488
0.675 0.325 0.988
0.983 0.017 0.000
0.107 0.893 0.183
0.202 0.798 0.691
0.210 0.790 0.279
0.383 0.617 0.027
0.456 0.544 0.313
0.544 0.456 0.813
0.617 0.383 0.527
0.790 0.210 0.779
0.798 0.202 0.191
0.893 0.107 0.683
0.101 0.899 0.804
0.279 0.721 0.976
0.441 0.559 0.693
0.559 0.441 0.193
0.721 0.279 0.476
0.899 0.101 0.304



ScIn2Pd (PBE, relaxed); calculated formation energy = -542 meV per atom; magnetization = 0.00 μB/f.u.; E = -4.792 eV/atom
1.0
-2.302 2.302 7.804
2.302 -2.302 7.804
2.302 2.302 -7.804
Sc In Pd
2 4 2
direct
0.138 0.138 0.000
0.862 0.862 0.000
0.000 0.500 0.500
0.352 0.352 0.000
0.500 0.000 0.500
0.648 0.648 0.000
0.250 0.750 0.500
0.750 0.250 0.500



Ni2HIrRh (PBE, relaxed); magnetization = 0.01 μB/f.u.; offset from the most stable computed form = 13 meV/atom; E = -6.129 eV/atom
1.0
3.806 0.000 0.000
0.000 3.806 0.000
0.000 0.000 3.694
Ni H Ir Rh
2 1 1 1
direct
0.000 0.500 0.000
0.500 0.000 0.000
0.000 0.000 0.000
0.000 0.000 0.500
0.500 0.500 0.500



Mg5Zn6Ir (PBE, relaxed); calculated formation energy = -86 meV per atom; magnetization = 0.00 μB/f.u.; E = -2.126 eV/atom
1.0
2.533 -4.476 0.000
2.533 4.476 0.000
-2.057 0.000 9.086
Mg Zn Ir
5 6 1
direct
0.000 0.000 0.000
0.166 0.834 0.500
0.331 0.669 0.000
0.669 0.331 0.000
0.834 0.166 0.500
0.106 0.414 0.257
0.278 0.278 0.741
0.414 0.106 0.257
0.586 0.894 0.743
0.722 0.722 0.259
0.894 0.586 0.743
0.500 0.500 0.500



NaLa2AlPd (PBE, relaxed); calculated formation energy = -220 meV per atom; magnetization = 0.00 μB/f.u.; E = -4.242 eV/atom
1.0
5.751 0.000 0.000
0.000 5.751 0.000
0.000 0.000 4.857
Na La Al Pd
1 2 1 1
direct
0.000 0.000 0.000
0.000 0.500 0.500
0.500 0.000 0.500
0.500 0.500 0.000
0.500 0.500 0.500



Question: What is the formula in the sixth record?
Answer: NaLa2AlPd



Copy entry 2 word for word.
Na2Ge5Pd3 (PBE, relaxed); calculated formation energy = -294 meV per atom; magnetization = 0.00 μB/f.u.; offset from the most stable computed form = 18 meV/atom; E = -4.424 eV/atom
1.0
2.220 -12.249 0.000
2.220 12.249 0.000
0.000 0.000 6.714
Na Ge Pd
4 10 6
direct
0.017 0.983 0.500
0.325 0.675 0.488
0.675 0.325 0.988
0.983 0.017 0.000
0.107 0.893 0.183
0.202 0.798 0.691
0.210 0.790 0.279
0.383 0.617 0.027
0.456 0.544 0.313
0.544 0.456 0.813
0.617 0.383 0.527
0.790 0.210 0.779
0.798 0.202 0.191
0.893 0.107 0.683
0.101 0.899 0.804
0.279 0.721 0.976
0.441 0.559 0.693
0.559 0.441 0.193
0.721 0.279 0.476
0.899 0.101 0.304